(1)
! GeBiPt (PBE, optimized geometry); values from VASP
&SYSTEM
  ibrav = 0, nat = 3, ntyp = 3
/
ATOMIC_SPECIES
Bi 208.98 Bi.upf
Ge 72.64 Ge.upf
Pt 195.08 Pt.upf
CELL_PARAMETERS angstrom
2.599 2.425 2.934
-1.828 3.546 2.308
-0.726 -0.333 4.539
ATOMIC_POSITIONS angstrom
Bi 0.011 1.409 2.445
Ge 0.034 4.228 7.336
Pt 0.000 0.000 0.000
! Polymorph energy (0 for the lowest one) in eV/atom: 0.000
! Calculated total energy in eV/cell: -15.23
! Calculated volume in Å³/cell: 69.2

(2)
! PuGeBi (PBE, optimized geometry); values from VASP
&SYSTEM
  ibrav = 0, nat = 3, ntyp = 3
/
ATOMIC_SPECIES
Bi 208.98 Bi.upf
Ge 72.64 Ge.upf
Pu 244.00 Pu.upf
CELL_PARAMETERS angstrom
3.524 -3.157 -1.444
-0.028 -4.662 1.652
-1.111 -3.709 -3.079
ATOMIC_POSITIONS angstrom
Bi 0.596 -2.882 -0.718
Ge 1.789 -8.646 -2.153
Pu 0.000 0.000 0.000
! Polymorph energy (0 for the lowest one) in eV/atom: 0.129
! Calculated total energy in eV/cell: -22.72
! Calculated volume in Å³/cell: 85.6

(3)
! PuGeBi (PBE, optimized geometry); values from VASP
&SYSTEM
  ibrav = 0, nat = 3, ntyp = 3
/
ATOMIC_SPECIES
Bi 208.98 Bi.upf
Ge 72.64 Ge.upf
Pu 244.00 Pu.upf
CELL_PARAMETERS angstrom
0.000 3.528 3.528
3.528 0.000 3.528
3.528 3.528 0.000
ATOMIC_POSITIONS angstrom
Bi 1.764 1.764 1.764
Ge 0.000 0.000 0.000
Pu 5.293 5.293 5.293
! Polymorph energy (0 for the lowest one) in eV/atom: 0.000
! Calculated total energy in eV/cell: -23.11
! Calculated volume in Å³/cell: 87.9

(4)
! Sm2Sc2GeBi (PBE, optimized geometry); values from VASP
&SYSTEM
  ibrav = 0, nat = 6, ntyp = 4
/
ATOMIC_SPECIES
Bi 208.98 Bi.upf
Ge 72.64 Ge.upf
Sc 44.96 Sc.upf
Sm 150.36 Sm.upf
CELL_PARAMETERS angstrom
-5.489 -6.153 2.821
-8.575 -0.988 1.196
6.752 2.487 -4.917
ATOMIC_POSITIONS angstrom
Bi -12.261 -6.225 3.502
Ge -1.751 -0.889 0.500
Sc 0.498 -1.900 -1.010
Sc -1.045 0.682 -1.822
Sm -4.431 -2.250 1.265
Sm -9.420 -4.783 2.690
! Calculated total energy in eV/cell: -34.90
! Calculated volume in Å³/cell: 158.0

(5)
! SmGeBi (PBE, optimized geometry); values from VASP
&SYSTEM
  ibrav = 0, nat = 3, ntyp = 3
/
ATOMIC_SPECIES
Bi 208.98 Bi.upf
Ge 72.64 Ge.upf
Sm 150.36 Sm.upf
CELL_PARAMETERS angstrom
5.003 -1.118 0.238
2.156 -1.174 4.507
1.512 -4.812 0.945
ATOMIC_POSITIONS angstrom
Bi 2.168 -1.776 1.423
Ge 6.504 -5.328 4.268
Sm 0.000 0.000 0.000
! Polymorph energy (0 for the lowest one) in eV/atom: 0.000
! Calculated total energy in eV/cell: -13.72
! Calculated volume in Å³/cell: 95.6

(6)
! SmGeBi (PBE, optimized geometry); values from VASP
&SYSTEM
  ibrav = 0, nat = 3, ntyp = 3
/
ATOMIC_SPECIES
Bi 208.98 Bi.upf
Ge 72.64 Ge.upf
Sm 150.36 Sm.upf
CELL_PARAMETERS angstrom
-3.001 1.971 3.711
-2.965 4.110 -0.989
-5.130 -0.524 -0.278
ATOMIC_POSITIONS angstrom
Bi 0.000 0.000 0.000
Ge -2.774 1.389 0.611
Sm -8.322 4.168 1.833
! Polymorph energy (0 for the lowest one) in eV/atom: 0.062
! Calculated total energy in eV/cell: -13.53
! Calculated volume in Å³/cell: 97.4

(7)
! Sm5Ge2Bi2 (PBE, optimized geometry); values from VASP
&SYSTEM
  ibrav = 0, nat = 18, ntyp = 3
/
ATOMIC_SPECIES
Bi 208.98 Bi.upf
Ge 72.64 Ge.upf
Sm 150.36 Sm.upf
CELL_PARAMETERS angstrom
7.851 -4.082 0.000
7.851 4.082 0.000
0.000 0.000 8.178
ATOMIC_POSITIONS angstrom
Bi 3.239 0.000 0.000
Bi 12.463 0.000 0.000
Bi 4.612 0.000 4.089
Bi 11.091 0.000 4.089
Ge 7.851 1.132 1.128
Ge 7.851 -2.950 2.961
Ge 7.851 2.950 5.217
Ge 7.851 -1.132 7.050
Sm 0.000 0.000 0.000
Sm 5.890 -1.345 1.339
Sm 9.813 -1.345 1.339
Sm 5.890 2.737 2.750
Sm 9.813 2.737 2.750
Sm 7.851 0.000 4.089
Sm 5.890 -2.737 5.428
Sm 9.813 -2.737 5.428
Sm 5.890 1.345 6.839
Sm 9.813 1.345 6.839
! Calculated total energy in eV/cell: -97.53
! Calculated volume in Å³/cell: 524.2

(8)
! TaGeBi (PBE, optimized geometry); values from VASP
&SYSTEM
  ibrav = 0, nat = 3, ntyp = 3
/
ATOMIC_SPECIES
Bi 208.98 Bi.upf
Ge 72.64 Ge.upf
Ta 180.95 Ta.upf
CELL_PARAMETERS angstrom
0.000 3.297 3.297
3.297 0.000 3.297
3.297 3.297 0.000
ATOMIC_POSITIONS angstrom
Bi 1.648 1.648 1.648
Ge 0.000 0.000 0.000
Ta 4.945 4.945 4.945
! Polymorph energy (0 for the lowest one) in eV/atom: 0.164
! Calculated total energy in eV/cell: -17.94
! Calculated volume in Å³/cell: 71.7

(9)
! TaGeBi (PBE, optimized geometry); values from VASP
&SYSTEM
  ibrav = 0, nat = 3, ntyp = 3
/
ATOMIC_SPECIES
Bi 208.98 Bi.upf
Ge 72.64 Ge.upf
Ta 180.95 Ta.upf
CELL_PARAMETERS angstrom
-2.728 3.531 1.588
-0.787 3.793 -2.724
-4.285 0.714 -1.886
ATOMIC_POSITIONS angstrom
Bi -1.950 2.009 -0.755
Ge -5.850 6.028 -2.266
Ta 0.000 0.000 0.000
! Polymorph energy (0 for the lowest one) in eV/atom: 0.000
! Calculated total energy in eV/cell: -18.44
! Calculated volume in Å³/cell: 75.1

(10)
! TbGeBi (PBE, optimized geometry); values from VASP
&SYSTEM
  ibrav = 0, nat = 3, ntyp = 3
/
ATOMIC_SPECIES
Bi 208.98 Bi.upf
Ge 72.64 Ge.upf
Tb 158.93 Tb.upf
CELL_PARAMETERS angstrom
4.094 -2.793 -1.266
2.606 -2.504 3.620
-0.214 -5.105 0.236
ATOMIC_POSITIONS angstrom
Bi 0.000 0.000 0.000
Ge 1.621 -2.601 0.648
Tb 4.864 -7.802 1.943
! Calculated total energy in eV/cell: -13.30
! Calculated volume in Å³/cell: 94.6

(11)
! TcGeBi (PBE, optimized geometry); values from VASP
&SYSTEM
  ibrav = 0, nat = 3, ntyp = 3
/
ATOMIC_SPECIES
Bi 208.98 Bi.upf
Ge 72.64 Ge.upf
Tc 98.00 Tc.upf
CELL_PARAMETERS angstrom
1.010 -4.201 1.351
-2.066 -1.772 3.617
-3.018 -3.333 -0.525
ATOMIC_POSITIONS angstrom
Bi -1.019 -2.327 1.111
Ge -3.056 -6.980 3.333
Tc 0.000 0.000 0.000
! Polymorph energy (0 for the lowest one) in eV/atom: 0.314
! Calculated total energy in eV/cell: -17.64
! Calculated volume in Å³/cell: 65.6

(12)
! TcGeBi (PBE, optimized geometry); values from VASP
&SYSTEM
  ibrav = 0, nat = 6, ntyp = 3
/
ATOMIC_SPECIES
Bi 208.98 Bi.upf
Ge 72.64 Ge.upf
Tc 98.00 Tc.upf
CELL_PARAMETERS angstrom
-0.878 2.704 -4.420
-3.183 3.621 -2.092
6.045 2.444 5.023
ATOMIC_POSITIONS angstrom
Bi -0.730 4.117 -2.344
Bi 3.596 1.702 2.890
Ge 0.032 2.029 -0.767
Ge 1.605 7.330 -1.297
Tc 2.055 3.028 0.842
Tc 3.242 5.900 0.886
! Polymorph energy (0 for the lowest one) in eV/atom: 0.000
! Calculated total energy in eV/cell: -37.16
! Calculated volume in Å³/cell: 119.7

(13)
! UGeBi (PBE, optimized geometry); values from VASP
&SYSTEM
  ibrav = 0, nat = 3, ntyp = 3
/
ATOMIC_SPECIES
Bi 208.98 Bi.upf
Ge 72.64 Ge.upf
U 238.03 U.upf
CELL_PARAMETERS angstrom
-0.146 -4.899 1.065
-3.234 -2.992 -2.397
1.679 -3.344 -3.340
ATOMIC_POSITIONS angstrom
Bi -0.425 -2.809 -1.168
Ge -1.276 -8.426 -3.504
U 0.000 0.000 0.000
! Calculated total energy in eV/cell: -18.81
! Calculated volume in Å³/cell: 89.2

(14)
! GeBiW (PBE, optimized geometry); values from VASP
&SYSTEM
  ibrav = 0, nat = 3, ntyp = 3
/
ATOMIC_SPECIES
Bi 208.98 Bi.upf
Ge 72.64 Ge.upf
W 183.84 W.upf
CELL_PARAMETERS angstrom
-1.532 -4.309 -0.774
0.805 -3.342 3.113
-3.495 -1.707 2.526
ATOMIC_POSITIONS angstrom
Bi -1.056 -2.339 1.216
Ge -3.167 -7.018 3.649
W 0.000 0.000 0.000
! Polymorph energy (0 for the lowest one) in eV/atom: 0.000
! Calculated total energy in eV/cell: -18.76
! Calculated volume in Å³/cell: 70.5

(15)
! ZnGeBi (PBE, optimized geometry); values from VASP
&SYSTEM
  ibrav = 0, nat = 3, ntyp = 3
/
ATOMIC_SPECIES
Bi 208.98 Bi.upf
Ge 72.64 Ge.upf
Zn 65.41 Zn.upf
CELL_PARAMETERS angstrom
4.359 -1.851 0.851
0.686 -2.902 3.776
0.796 -4.696 -0.687
ATOMIC_POSITIONS angstrom
Bi 1.460 -2.362 0.985
Ge 0.000 0.000 0.000
Zn 4.381 -7.087 2.955
! Polymorph energy (0 for the lowest one) in eV/atom: 0.000
! Calculated total energy in eV/cell: -9.10
! Calculated volume in Å³/cell: 78.8

(16)
! ZnGe2Bi (PBE, optimized geometry); values from VASP
&SYSTEM
  ibrav = 0, nat = 4, ntyp = 3
/
ATOMIC_SPECIES
Bi 208.98 Bi.upf
Ge 72.64 Ge.upf
Zn 65.41 Zn.upf
CELL_PARAMETERS angstrom
-1.788 0.820 4.591
-2.374 4.272 1.029
-4.930 -0.013 0.799
ATOMIC_POSITIONS angstrom
Bi -6.819 3.810 4.815
Ge 0.000 0.000 0.000
Ge -2.273 1.270 1.605
Zn -4.546 2.540 3.210
! Calculated total energy in eV/cell: -13.32
! Calculated volume in Å³/cell: 88.1

(17)
! ZnGeBi2 (PBE, optimized geometry); values from VASP
&SYSTEM
  ibrav = 0, nat = 4, ntyp = 3
/
ATOMIC_SPECIES
Bi 208.98 Bi.upf
Ge 72.64 Ge.upf
Zn 65.41 Zn.upf
CELL_PARAMETERS angstrom
4.033 -2.768 1.971
-0.903 -4.542 2.524
1.395 -4.575 -2.223
ATOMIC_POSITIONS angstrom
Bi 0.000 0.000 0.000
Bi 1.131 -2.971 0.568
Ge 3.393 -8.914 1.704
Zn 2.262 -5.942 1.136
! Calculated total energy in eV/cell: -12.79
! Calculated volume in Å³/cell: 103.7

(18)
! ZnGeBi (PBE, optimized geometry); values from VASP
&SYSTEM
  ibrav = 0, nat = 3, ntyp = 3
/
ATOMIC_SPECIES
Bi 208.98 Bi.upf
Ge 72.64 Ge.upf
Zn 65.41 Zn.upf
CELL_PARAMETERS angstrom
0.000 3.469 3.469
3.469 0.000 3.469
3.469 3.469 0.000
ATOMIC_POSITIONS angstrom
Bi 0.000 0.000 0.000
Ge 1.734 1.734 1.734
Zn 5.203 5.203 5.203
! Polymorph energy (0 for the lowest one) in eV/atom: 0.081
! Calculated total energy in eV/cell: -8.86
! Calculated volume in Å³/cell: 83.5

(19)
! ZrGe2Bi (PBE, optimized geometry); values from VASP
&SYSTEM
  ibrav = 0, nat = 4, ntyp = 3
/
ATOMIC_SPECIES
Bi 208.98 Bi.upf
Ge 72.64 Ge.upf
Zr 91.22 Zr.upf
CELL_PARAMETERS angstrom
0.000 3.578 3.578
3.578 0.000 3.578
3.578 3.578 0.000
ATOMIC_POSITIONS angstrom
Bi 5.367 5.367 5.367
Ge 0.000 0.000 0.000
Ge 1.789 1.789 1.789
Zr 3.578 3.578 3.578
! Calculated total energy in eV/cell: -20.93
! Calculated volume in Å³/cell: 91.6

(20)
! HfBiH (PBE, optimized geometry); values from VASP
&SYSTEM
  ibrav = 0, nat = 6, ntyp = 3
/
ATOMIC_SPECIES
Bi 208.98 Bi.upf
H 1.01 H.upf
Hf 178.49 Hf.upf
CELL_PARAMETERS angstrom
-0.154 3.726 0.781
-4.262 2.335 -2.719
-4.049 0.924 4.082
ATOMIC_POSITIONS angstrom
Bi -3.749 3.873 -0.660
Bi -4.716 3.112 2.803
H -1.847 3.441 1.779
H -6.618 3.544 0.364
Hf -2.554 1.601 1.134
Hf -5.911 5.384 1.010
! Calculated total energy in eV/cell: -36.66
! Calculated volume in Å³/cell: 108.3